Below is a crystal of KCoTc relaxed with PBEsol, with properties calculated at the meta-GGA SCAN level.

Structure (POSCAR):
```
KCoTc
1.0
4.445 0.000 0.000
2.223 3.850 0.000
2.223 1.283 3.630
Co K Tc
1 1 1
direct
0.500 0.500 0.500
0.250 0.250 0.250
0.000 0.000 0.000
```

calculated volume	20.71	Å³/atom
E_form	8.3	eV/f.u.